CdHgPtPb2: optimized geometry, PBE.

The structure in CIF format:
```
data_CdHgPtPb2
_chemical_formula_sum 'Cd1 Hg1 Pt1 Pb2'
_cell_length_a 5.399
_cell_length_b 5.399
_cell_length_c 5.291
_cell_angle_alpha 90.00
_cell_angle_beta 90.00
_cell_angle_gamma 90.00
_symmetry_space_group_name_H-M 'P 4/m m m'
_symmetry_Int_Tables_number 123
_symmetry_space_group_name_Hall '-P 4 2'
loop_
_atom_site_label
_atom_site_type_symbol
_atom_site_fract_x
_atom_site_fract_y
_atom_site_fract_z
Cd1 Cd 0.000 0.000 0.000
Hg1 Hg 0.500 0.500 0.000
Pt1 Pt 0.000 0.000 0.500
Pb1 Pb 0.000 0.500 0.500
```

Calculated values
crystal system: tetragonal
volume: 30.8 Å³ per atom
ΔE_f: 0.14 eV per formula unit